(1)
Density functional theory data (PBE) for a relaxed structure of BaY3Fe.

The structure belongs to space group Pm-3m (No. 221); the cell edges are 5.4475, 5.4475 and 5.4475 Å and the angles 90.00°, 90.00° and 90.00°. Symmetry generates all atoms from Ba at (0.0000, 0.0000, 0.0000), Y at (0.0000, 0.5000, 0.5000) and Fe at (0.5000, 0.5000, 0.5000).

The relative energy among the computed polymorphs comes out at 0 meV per atom. For the density of states at the Fermi level, the calculation gives 1.382 states/eV per atom. The value obtained for the total energy is -5.838 eV per atom.

(2)
Density functional theory data (PBE) for a relaxed structure of Rb2SnIrF6.

The structure belongs to space group I4/mmm (No. 139); the cell edges are 6.4817, 6.4817 and 8.9122 Å and the angles 90.00°, 90.00° and 90.00°. Symmetry generates all atoms from Rb at (0.0000, 0.5000, 0.2500), Sn at (0.0000, 0.0000, 0.0000), Ir at (0.0000, 0.0000, 0.5000), F at (0.0000, 0.0000, 0.2654) and F at (0.2455, 0.2455, 0.5000).

For the density of states at the Fermi level, the calculation gives 0.110 states/eV per atom. The value obtained for the total energy is -4.534 eV per atom. The energy relative to the elements, uncorrected is -186 kJ per mole of atoms.

(3)
Density functional theory data (PBE) for a relaxed structure of LuZnRu.

The structure belongs to space group P-6m2 (No. 187); the cell edges are 4.3428, 4.3428 and 3.3876 Å and the angles 90.00°, 90.00° and 120.00°. Symmetry generates all atoms from Lu at (0.0000, 0.0000, 0.0000), Zn at (0.3333, 0.6667, 0.5000) and Ru at (0.6667, 0.3333, 0.5000).

For the density of states at the Fermi level, the calculation gives 0.272 states/eV per atom. The value obtained for the total energy is -5.332 eV per atom.

(4)
Density functional theory data (PBE) for a relaxed structure of Ac3PmSi2N6.

The structure belongs to space group P-3m1 (No. 164); the cell edges are 6.0192, 6.0192 and 6.8938 Å and the angles 90.00°, 90.00° and 120.00°. Symmetry generates all atoms from Ac at (0.0000, 0.0000, 0.0000), Ac at (0.3333, 0.6667, 0.6605), Pm at (0.0000, 0.0000, 0.5000), Si at (0.3333, 0.6667, 0.2050) and N at (0.1774, 0.3548, 0.2840).

For the density of states at the Fermi level, the calculation gives 0.233 states/eV per atom. The value obtained for the total energy is -7.538 eV per atom. The energy relative to the elements, uncorrected is -101 kJ per mole of atoms.

(5)
Density functional theory data (PBE) for a relaxed structure of NdCd2Au10.

The structure belongs to space group Fmmm (No. 69); the cell edges are 5.6951, 13.1688 and 14.0059 Å and the angles 90.00°, 90.00° and 90.00°. Symmetry generates all atoms from Nd at (0.0000, 0.0000, 0.0000), Cd at (0.2500, 0.0000, 0.2500), Au at (0.0000, 0.1066, 0.3938), Au at (0.0000, 0.1737, 0.1697) and Au at (0.2500, 0.2500, 0.0000).

For the density of states at the Fermi level, the calculation gives 0.297 states/eV per atom. The value obtained for the total energy is -3.243 eV per atom.

(6)
Density functional theory data (PBE) for a relaxed structure of Y2TaRu.

The structure belongs to space group Imm2 (No. 44); the cell edges are 3.4009, 5.1224 and 10.4353 Å and the angles 90.00°, 90.00° and 90.00°. Symmetry generates all atoms from Y at (0.0000, 0.0000, 0.0000), Y at (0.0000, 0.5000, 0.2120), Ta at (0.0000, 0.0000, 0.4180) and Ru at (0.0000, 0.5000, 0.7387).

The relative energy among the computed polymorphs comes out at 26 meV per atom. For the density of states at the Fermi level, the calculation gives 0.694 states/eV per atom. The value obtained for the total energy is -8.597 eV per atom.

(7)
Density functional theory data (PBE) for a relaxed structure of LiTl2PtO6.

The structure belongs to space group P2_1/c (No. 14); the cell edges are 5.4462, 5.5517 and 9.7064 Å and the angles 90.00°, 121.92° and 90.00°. Symmetry generates all atoms from Li at (0.0000, 0.0000, 0.0000), Tl at (0.2091, 0.0502, 0.7396), Pt at (0.5000, 0.0000, 0.5000), O at (0.1565, 0.2076, 0.4381), O at (0.2248, 0.7250, 0.4217) and O at (0.4063, 0.0615, 0.2743).

For the density of states at the Fermi level, the calculation gives 0.706 states/eV per atom. The value obtained for the total energy is -5.026 eV per atom. The energy relative to the elements, uncorrected is -75 kJ per mole of atoms.

(8)
Density functional theory data (PBE) for a relaxed structure of PuTiMo2.

The structure belongs to space group Fm-3m (No. 225); the cell edges are 6.5013, 6.5013 and 6.5013 Å and the angles 90.00°, 90.00° and 90.00°. Symmetry generates all atoms from Pu at (0.0000, 0.0000, 0.0000), Ti at (0.0000, 0.0000, 0.5000) and Mo at (0.2500, 0.2500, 0.2500).

The relative energy among the computed polymorphs comes out at 0 meV per atom. For the density of states at the Fermi level, the calculation gives 1.484 states/eV per atom. The value obtained for the total energy is -10.906 eV per atom.

Q: Which value of density of states at the Fermi level does entry 7 give?
A: 0.706 states/eV per atom

Please write out number 7 again, unchanged.
Density functional theory data (PBE) for a relaxed structure of LiTl2PtO6.

The structure belongs to space group P2_1/c (No. 14); the cell edges are 5.4462, 5.5517 and 9.7064 Å and the angles 90.00°, 121.92° and 90.00°. Symmetry generates all atoms from Li at (0.0000, 0.0000, 0.0000), Tl at (0.2091, 0.0502, 0.7396), Pt at (0.5000, 0.0000, 0.5000), O at (0.1565, 0.2076, 0.4381), O at (0.2248, 0.7250, 0.4217) and O at (0.4063, 0.0615, 0.2743).

For the density of states at the Fermi level, the calculation gives 0.706 states/eV per atom. The value obtained for the total energy is -5.026 eV per atom. The energy relative to the elements, uncorrected is -75 kJ per mole of atoms.